# GaRe2SiP, optimized geometry, DFT PBE-GGA
# Raw formation energy, eV/atom: 1.934
# Symmetry: P4/mmm, No. 123
data_GaRe2SiP
_chemical_formula_sum 'Ga1 Re2 Si1 P1'
_cell_length_a 4.662
_cell_length_b 4.210
_cell_length_c 4.662
_cell_angle_alpha 90.00
_cell_angle_beta 90.00
_cell_angle_gamma 90.00
_symmetry_space_group_name_H-M 'P 1'
_symmetry_Int_Tables_number 1
_symmetry_space_group_name_Hall 'P 1'
loop_
_atom_site_label
_atom_site_fract_x
_atom_site_fract_y
_atom_site_fract_z
Re1 0.500 0.000 0.000
Re2 0.000 0.000 0.500
Ga1 0.000 0.000 0.000
Si1 0.500 0.500 0.500
P1 0.000 0.500 0.000

---

# LaBe2Cd, optimized geometry, DFT PBE-GGA
# Energy of formation from the pure elements, meV per atom: 434
# Symmetry: P4/mmm, No. 123
data_LaBe2Cd
_chemical_formula_sum 'La1 Be2 Cd1'
_cell_length_a 7.616
_cell_length_b 4.771
_cell_length_c 3.538
_cell_angle_alpha 89.97
_cell_angle_beta 62.37
_cell_angle_gamma 128.77
_symmetry_space_group_name_H-M 'P 1'
_symmetry_Int_Tables_number 1
_symmetry_space_group_name_Hall 'P 1'
loop_
_atom_site_label
_atom_site_fract_x
_atom_site_fract_y
_atom_site_fract_z
Be1 0.000 0.000 0.000
Be2 0.500 0.000 0.500
Cd1 0.000 0.500 0.500
La1 0.500 0.500 0.000

---

# LiDyHfTc, optimized geometry, DFT PBE-GGA
# Energy of formation from the pure elements, meV per atom: -103
# Symmetry: F-43m, No. 216
data_LiDyHfTc
_chemical_formula_sum 'Li1 Dy1 Hf1 Tc1'
_cell_length_a 4.766
_cell_length_b 4.766
_cell_length_c 4.766
_cell_angle_alpha 60.00
_cell_angle_beta 60.00
_cell_angle_gamma 60.00
_symmetry_space_group_name_H-M 'P 1'
_symmetry_Int_Tables_number 1
_symmetry_space_group_name_Hall 'P 1'
loop_
_atom_site_label
_atom_site_fract_x
_atom_site_fract_y
_atom_site_fract_z
Dy1 0.250 0.250 0.250
Hf1 0.750 0.750 0.750
Li1 0.000 0.000 0.000
Tc1 0.500 0.500 0.500

---

# TbTmGeTe, optimized geometry, DFT PBE-GGA
# Raw formation energy, eV/atom: -1.167
# Symmetry: R3m, No. 160
data_TbTmGeTe
_chemical_formula_sum 'Tb1 Tm1 Ge1 Te1'
_cell_length_a 4.228
_cell_length_b 4.228
_cell_length_c 7.467
_cell_angle_alpha 73.55
_cell_angle_beta 73.55
_cell_angle_gamma 60.00
_symmetry_space_group_name_H-M 'P 1'
_symmetry_Int_Tables_number 1
_symmetry_space_group_name_Hall 'P 1'
loop_
_atom_site_label
_atom_site_fract_x
_atom_site_fract_y
_atom_site_fract_z
Tm1 0.510 0.510 0.469
Ge1 0.249 0.249 0.254
Tb1 0.990 0.990 0.031
Te1 0.752 0.752 0.745

---

# Pm12Sn6Os, optimized geometry, DFT PBE-GGA
# Energy of formation from the pure elements, meV per atom: -388
# Symmetry: R-3, No. 148
data_Pm12Sn6Os
_chemical_formula_sum 'Pm12 Sn6 Os1'
_cell_length_a 8.843
_cell_length_b 8.843
_cell_length_c 8.843
_cell_angle_alpha 99.25
_cell_angle_beta 99.25
_cell_angle_gamma 99.25
_symmetry_space_group_name_H-M 'P 1'
_symmetry_Int_Tables_number 1
_symmetry_space_group_name_Hall 'P 1'
loop_
_atom_site_label
_atom_site_fract_x
_atom_site_fract_y
_atom_site_fract_z
Pm1 0.944 0.018 0.686
Pm2 0.686 0.944 0.018
Pm3 0.982 0.314 0.056
Pm4 0.193 0.428 0.564
Pm5 0.564 0.193 0.428
Pm6 0.807 0.572 0.436
Pm7 0.436 0.807 0.572
Pm8 0.572 0.436 0.807
Pm9 0.314 0.056 0.982
Pm10 0.018 0.686 0.944
Pm11 0.428 0.564 0.193
Pm12 0.056 0.982 0.314
Sn1 0.362 0.692 0.876
Sn2 0.692 0.876 0.362
Sn3 0.876 0.362 0.692
Sn4 0.308 0.124 0.638
Sn5 0.124 0.638 0.308
Sn6 0.638 0.308 0.124
Os1 0.000 0.000 0.000

---

# Nd2Dy5Tm, optimized geometry, DFT PBE-GGA
# Offset from the most stable computed form, eV per formula unit: 1.10
# Energy of formation from the pure elements, meV per atom: 156
# Symmetry: C2/c, No. 15
data_Nd2Dy5Tm
_chemical_formula_sum 'Nd4 Dy10 Tm2'
_cell_length_a 9.874
_cell_length_b 6.596
_cell_length_c 10.688
_cell_angle_alpha 118.58
_cell_angle_beta 117.51
_cell_angle_gamma 90.00
_symmetry_space_group_name_H-M 'P 1'
_symmetry_Int_Tables_number 1
_symmetry_space_group_name_Hall 'P 1'
loop_
_atom_site_label
_atom_site_fract_x
_atom_site_fract_y
_atom_site_fract_z
Nd1 0.663 0.961 0.836
Nd2 0.337 0.039 0.164
Nd3 0.826 0.539 0.164
Nd4 0.174 0.461 0.836
Dy1 0.941 0.750 0.000
Dy2 0.287 0.870 0.401
Dy3 0.713 0.130 0.599
Dy4 0.691 0.051 0.201
Dy5 0.510 0.551 0.201
Dy6 0.490 0.449 0.799
Dy7 0.115 0.370 0.401
Dy8 0.059 0.250 0.000
Dy9 0.885 0.630 0.599
Dy10 0.309 0.949 0.799
Tm1 0.500 0.500 0.500
Tm2 0.000 0.000 0.500

---

# SrLiDyCl6, optimized geometry, DFT PBE-GGA
# Raw formation energy, eV/atom: -2.241
# Symmetry: P-31c, No. 163
data_SrLiDyCl6
_chemical_formula_sum 'Sr2 Li2 Dy2 Cl12'
_cell_length_a 6.750
_cell_length_b 6.750
_cell_length_c 12.741
_cell_angle_alpha 90.00
_cell_angle_beta 90.00
_cell_angle_gamma 120.00
_symmetry_space_group_name_H-M 'P 1'
_symmetry_Int_Tables_number 1
_symmetry_space_group_name_Hall 'P 1'
loop_
_atom_site_label
_atom_site_fract_x
_atom_site_fract_y
_atom_site_fract_z
Li1 0.667 0.333 0.750
Li2 0.333 0.667 0.250
Cl1 0.004 0.647 0.366
Cl2 0.357 0.004 0.634
Cl3 0.643 0.996 0.366
Cl4 0.996 0.353 0.634
Cl5 0.647 0.643 0.634
Cl6 0.004 0.357 0.134
Cl7 0.353 0.996 0.134
Cl8 0.996 0.643 0.866
Cl9 0.647 0.004 0.866
Cl10 0.357 0.353 0.866
Cl11 0.643 0.647 0.134
Cl12 0.353 0.357 0.366
Dy1 0.333 0.667 0.750
Dy2 0.667 0.333 0.250
Sr1 0.000 0.000 0.000
Sr2 0.000 0.000 0.500

---

# MgCdP2S, optimized geometry, DFT PBE-GGA
# Offset from the most stable computed form, eV per formula unit: 0.00
# Raw formation energy, eV/atom: 0.648
# Symmetry: P4/mmm, No. 123
data_MgCdP2S
_chemical_formula_sum 'Mg1 Cd1 P2 S1'
_cell_length_a 4.842
_cell_length_b 4.842
_cell_length_c 4.806
_cell_angle_alpha 90.00
_cell_angle_beta 90.00
_cell_angle_gamma 90.00
_symmetry_space_group_name_H-M 'P 1'
_symmetry_Int_Tables_number 1
_symmetry_space_group_name_Hall 'P 1'
loop_
_atom_site_label
_atom_site_fract_x
_atom_site_fract_y
_atom_site_fract_z
S1 0.000 0.000 0.500
Mg1 0.000 0.000 0.000
P1 0.500 0.000 0.000
P2 0.000 0.500 0.000
Cd1 0.500 0.500 0.500